Record 1
{
  "formula": "MgZnCd2",
  "functional": "PBEsol",
  "state": "optimized geometry",
  "lattice_angstrom": [[-2.331, 1.081, -1.612], [0.827, -1.726, -2.354], [-4.835, -6.191, 2.840]],
  "species": ["Zn", "Mg", "Cd", "Cd"],
  "fractional_positions": [[0.500, 0.500, 0.748], [0.000, 0.000, 0.521], [0.000, 0.000, 0.979], [0.500, 0.500, 0.252]],
  "delta_e_f_ev_per_atom": -0.019,
  "de_polymorph_mev_per_atom": 10
}

Record 2
{
  "formula": "ZnMoIr",
  "functional": "PBEsol",
  "state": "optimized geometry",
  "lattice_angstrom": [[2.818, 0.000, 0.000], [0.000, 2.818, 0.000], [-1.409, -1.409, 5.344]],
  "species": ["Mo", "Ir", "Zn"],
  "fractional_positions": [[0.663, 0.663, 0.325], [0.000, 0.000, 0.000], [0.337, 0.337, 0.675]],
  "delta_e_f_ev_per_atom": -0.170,
  "de_polymorph_mev_per_atom": 0
}